# Be2Ir2Ru | Alexandria via LeMat-Bulk | PBE-GGA | optimized geometry
# DFT formation energy	-0.296	eV/atom
# calculated total energy	-7.1857	eV/atom
# distance to the lowest polymorph of the same formula	0.0	kJ per mole of atoms
data_Be2Ir2Ru
_chemical_formula_sum 'Be4 Ir4 Ru2'
_cell_length_a 6.5358
_cell_length_b 6.5358
_cell_length_c 2.7509
_cell_angle_alpha 90.00
_cell_angle_beta 90.00
_cell_angle_gamma 90.00
_space_group_name_H-M_alt 'P 4/m b m'
_space_group_IT_number 127
_space_group_name_Hall '-P 4 2ab'
loop_
_atom_site_label
_atom_site_fract_x
_atom_site_fract_y
_atom_site_fract_z
Be1 0.1214 0.3786 0.0000
Ir1 0.1747 0.6747 0.5000
Ru1 0.0000 0.0000 0.0000